First-principles (PBE) data for crystalline ZrSiTe at its relaxed geometry, as listed in Alexandria.

## Properties
calculated volume: 65.1 Å³ per cell
polymorph energy (0 for the lowest one): 793 meV per atom
raw formation energy: -0.011 eV/atom

POSCAR file:
```
ZrSiTe
1.0
-4.827 0.325 1.332
3.133 -2.924 2.612
0.649 2.296 1.791
Zr Si Te
1 1 1
direct
0.333 0.667 0.500
0.000 0.000 0.000
0.667 0.333 0.500
```